LiIr2Au, optimized geometry, DFT GGA-PBE; ΔE_f = 0.199 eV per atom; energy above the lowest structure with this stoichiometry = 249 meV/atom
1.0
2.709 0.010 0.000
-1.307 2.373 0.000
0.000 0.000 9.481
Au Ir Li
1 2 1
Direct
0.500 0.500 0.750
0.000 0.000 0.015
0.000 0.000 0.485
0.500 0.500 0.250